A relaxed Li3VOF5 crystal. Source: Alexandria via LeMat-Bulk, functional GGA+U.

Calculated values
**Total moment**: 1.00 μB per formula unit
**Energy above the lowest structure with this stoichiometry**: 1.9 meV/atom
**Raw total energy**: -220.23 eV for the cell shown

a b c (Å): 5.0493 8.6191 9.8096
angles (deg): 90.27 90.43 90.29
Last column: magnetic moment on the atom in μB.
Atoms (fractional coordinates):
F 0.6593 0.0901 0.5247  0.01
Li 0.0124 0.4478 0.1052  0.00
Li 0.9901 0.4536 0.6572  0.00
F 0.6841 0.4129 0.5097  0.00
F 0.1680 0.2450 0.0204  0.00
Li 0.9984 0.0405 0.6093  0.00
V 0.9742 0.7404 0.3825  1.07
O 0.1504 0.6011 0.9688  0.00
F 0.3611 0.4426 0.7268  0.01
F 0.6861 0.7578 0.9754  0.00
Li 0.9945 0.0479 0.1471  0.00
V 0.4999 0.2394 0.1269  1.90
F 0.8051 0.2668 0.7367  -0.01
F 0.6591 0.4093 0.0245  0.00
Li 0.5004 0.9516 0.3937  0.00
F 0.6773 0.0832 0.0070  0.00
F 0.1592 0.9102 0.4746  0.01
Li 0.4910 0.5534 0.3506  0.00
F 0.3001 0.7711 0.7572  0.00
F 0.8215 0.2298 0.2403  0.00
Li 0.5086 0.9546 0.8483  0.00
V 0.4759 0.2595 0.6162  1.07
F 0.3209 0.1129 0.7496  0.01
Li 0.4977 0.6459 0.6276  0.00
F 0.8559 0.5583 0.2716  0.01
V 0.0320 0.7600 0.8942  0.00
F 0.3152 0.3910 0.2475  0.00
F 0.3534 0.0584 0.2264  0.00
O 0.1682 0.9057 0.9884  0.00
O 0.6968 0.7425 0.4755  -0.10
Li 0.5272 0.5428 0.8891  0.00
O 0.1987 0.2578 0.5218  -0.11
Li 0.9890 0.3584 0.3755  0.00
F 0.1821 0.5893 0.4908  0.00
Li 0.9851 0.1384 0.8718  0.00
F 0.3028 0.7348 0.2647  -0.01
Li 0.4820 0.8539 0.1271  0.00
F 0.8170 0.8856 0.2477  0.01
F 0.8143 0.6204 0.7550  0.00
F 0.8562 0.9354 0.7726  0.00